{"formula": "LaTb3Nd6Er2", "functional": "PBE", "state": "relaxed", "crystal_system": "monoclinic", "formation_enthalpy_0k_mev_per_atom": 17, "total_energy_ev_per_atom": -4.70, "lattice": [[6.297, -0.001, 0.020], [-3.148, 5.454, 0.020], [-1.088, -1.884, 11.782]], "species": ["La", "Tb", "Tb", "Tb", "Nd", "Nd", "Nd", "Nd", "Nd", "Nd", "Er", "Er"], "fractional_positions": [[0.000, 0.000, 0.000], [0.167, 0.833, 0.500], [0.833, 0.167, 0.500], [0.500, 0.500, 0.500], [0.916, 0.581, 0.749], [0.750, 0.750, 0.251], [0.084, 0.419, 0.251], [0.581, 0.916, 0.749], [0.250, 0.250, 0.749], [0.419, 0.084, 0.251], [0.333, 0.667, 0.000], [0.667, 0.333, 0.000]]}



{"formula": "YBe2In", "functional": "PBE", "state": "relaxed", "crystal_system": "tetragonal", "formation_enthalpy_0k_mev_per_atom": 262, "total_energy_ev_per_atom": -3.90, "lattice": [[3.300, 0.000, 0.000], [0.000, 3.303, 0.000], [0.000, 0.000, 6.629]], "species": ["Y", "Be", "Be", "In"], "fractional_positions": [[0.500, 0.500, 0.750], [0.000, 0.000, 0.043], [0.000, 0.000, 0.457], [0.500, 0.500, 0.250]]}



{"formula": "SrMg6", "functional": "PBE", "state": "relaxed", "crystal_system": "cubic", "formation_enthalpy_0k_mev_per_atom": 670, "total_energy_ev_per_atom": -0.94, "lattice": [[6.970, 0.000, 0.000], [0.000, 6.970, 0.000], [0.000, 0.000, 6.970]], "species": ["Sr", "Mg", "Mg", "Mg", "Mg", "Mg", "Mg"], "fractional_positions": [[0.000, 0.000, 0.000], [0.197, 0.500, 0.500], [0.500, 0.500, 0.803], [0.500, 0.500, 0.197], [0.500, 0.197, 0.500], [0.500, 0.803, 0.500], [0.803, 0.500, 0.500]]}



{"formula": "CdInAs3", "functional": "PBE", "state": "relaxed", "crystal_system": "cubic", "formation_enthalpy_0k_mev_per_atom": 817, "total_energy_ev_per_atom": -2.70, "lattice": [[5.232, 0.000, 0.000], [0.000, 5.232, 0.000], [0.000, 0.000, 5.232]], "species": ["As", "As", "As", "Cd", "In"], "fractional_positions": [[0.000, 0.500, 0.000], [0.000, 0.000, 0.500], [0.500, 0.000, 0.000], [0.000, 0.000, 0.000], [0.500, 0.500, 0.500]]}



{"formula": "CaIn2PtPb", "functional": "PBE", "state": "relaxed", "crystal_system": "tetragonal", "formation_enthalpy_0k_mev_per_atom": -345, "total_energy_ev_per_atom": -3.79, "lattice": [[-3.333, 3.235, -2.312], [-3.834, -1.814, 2.989], [1.116, 3.836, 3.759]], "species": ["Pb", "Ca", "Pt", "In", "In"], "fractional_positions": [[0.500, 0.500, 0.500], [0.000, 0.000, 0.500], [0.000, 0.000, 0.000], [0.000, 0.500, 0.000], [0.500, 0.000, 0.000]]}



{"formula": "Be2TcSF", "functional": "PBE", "state": "relaxed", "crystal_system": "tetragonal", "e_form_raw_ev_per_atom": 0.429, "total_energy_ev_per_atom": -4.33, "lattice": [[4.397, 0.000, 0.000], [0.000, 3.845, 0.000], [0.000, 0.000, 4.397]], "species": ["Be", "Be", "S", "Tc", "F"], "fractional_positions": [[0.000, 0.000, 0.500], [0.500, 0.000, 0.000], [0.500, 0.500, 0.500], [0.000, 0.000, 0.000], [0.000, 0.500, 0.000]]}



{"formula": "Co2SiTe", "functional": "PBE", "state": "relaxed", "crystal_system": "tetragonal", "e_form_raw_ev_per_atom": 0.005, "total_energy_ev_per_atom": -5.69, "lattice": [[3.365, 0.000, 0.000], [0.000, 3.364, 0.000], [0.000, 0.000, 5.024]], "species": ["Co", "Co", "Si", "Te"], "fractional_positions": [[0.000, 0.000, 0.969], [0.500, 0.500, 0.306], [0.000, 0.000, 0.423], [0.500, 0.500, 0.802]]}



{"formula": "La6CePm2Y", "functional": "PBE", "state": "relaxed", "crystal_system": "monoclinic", "formation_enthalpy_0k_mev_per_atom": 204, "total_energy_ev_per_atom": -4.94, "lattice": [[-4.311, -8.649, -2.713], [5.888, -3.450, 1.642], [-3.371, 3.636, 4.724]], "species": ["La", "La", "La", "La", "La", "La", "Ce", "Pm", "Pm", "Y"], "fractional_positions": [[0.424, 0.652, 0.303], [0.181, 0.094, 0.632], [0.819, 0.461, 0.368], [0.181, 0.539, 0.632], [0.819, 0.906, 0.368], [0.576, 0.348, 0.697], [0.000, 0.500, 0.000], [0.194, 0.060, 0.121], [0.806, 0.940, 0.879], [0.500, 0.000, 0.000]]}